Record 1
A relaxed structure of BaCaEuNbO6, computed with PBE.

Lattice parameters (Å, degrees): 6.0465 6.0465 6.0465 60.00 60.00 60.00
With the nearest neighbours (Å) after each atom.
Fractional positions:
O 0.7349 0.2651 0.2651  1 Nb 2.01
O 0.2651 0.7349 0.7349  1 Nb 2.01
O 0.7349 0.2651 0.7349  1 Nb 2.01
Ba 0.2500 0.2500 0.2500  12 O 3.03
O 0.7349 0.7349 0.2651  1 Nb 2.01
O 0.2651 0.2651 0.7349  1 Nb 2.01
O 0.2651 0.7349 0.2651  1 Nb 2.01
Nb 0.5000 0.5000 0.5000  6 O 2.01
Ca 0.7500 0.7500 0.7500  12 O 3.03
Eu 0.0000 0.0000 0.0000  6 O 2.27

## Properties
E_form (uncorrected): -2.68 eV/atom
Energy relative to the lowest polymorph listed for this composition: 0.101 eV/atom
D(E_F): 0.793 states/eV/atom
Raw total energy: -8.0820 eV per atom
SG: F-43m



Record 2
A relaxed structure of Rb2NaTl, computed with PBE.

Lattice parameters (Å, degrees): 10.5518 10.5518 8.3694 50.92 50.92 90.00
With the nearest neighbours (Å) after each atom.
Fractional positions:
Rb 0.3750 0.3585 0.7500  2 Tl 3.73, 2 Rb 3.81, 2 Na 3.97
Rb 0.6415 0.1250 0.2500  2 Tl 3.73, 2 Rb 3.81, 2 Na 3.97
Rb 0.1085 0.6250 0.2500  2 Tl 3.73, 2 Rb 3.81, 2 Na 3.97
Rb 0.8750 0.8915 0.7500  2 Tl 3.73, 2 Rb 3.81, 2 Na 3.97
Na 0.2500 0.7500 0.5000  2 Tl 3.79, 4 Rb 3.97
Tl 0.0000 0.0000 0.0000  4 Rb 3.73, 2 Na 3.79
Na 0.5000 0.5000 0.0000  2 Tl 3.79, 4 Rb 3.97
Tl 0.7500 0.2500 0.5000  4 Rb 3.73, 2 Na 3.79

## Properties
ΔE_f: 0.111 eV/atom
Energy relative to the lowest polymorph listed for this composition: 0.128 eV/atom
D(E_F): 0.224 states/eV/atom
Raw total energy: -1.2945 eV per atom
SG: I-42d



Record 3
A relaxed structure of Li2MgTa, computed with PBE.

Lattice parameters (Å, degrees): 2.8038 2.8038 10.2323 90.00 90.00 110.77
With the nearest neighbours (Å) after each atom.
Fractional positions:
Li 0.5000 0.5000 0.2514  6 Li 2.80-3.04, 2 Mg 3.00
Mg 0.0000 0.0000 0.5001  4 Mg 2.80, 2 Li 3.00, 2 Ta 3.01
Ta 0.5000 0.5000 0.7501  4 Ta 2.80, 2 Li 3.00, 2 Mg 3.01
Li 0.0000 0.0000 0.9984  6 Li 2.80-3.04, 2 Ta 3.00

## Properties
ΔE_f: 0.214 eV/atom
D(E_F): 0.760 states/eV/atom
Raw total energy: -4.1052 eV per atom
SG: Cmm2



Record 4
A relaxed structure of Mg4Si3, computed with PBE.

Lattice parameters (Å, degrees): 5.6954 5.6954 5.6293 91.63 91.63 47.84
With the nearest neighbours (Å) after each atom.
Fractional positions:
Mg 0.6556 0.6556 0.9027  3 Si 2.75-2.96
Mg 0.0548 0.0548 0.2533  5 Si 2.76-3.03, 2 Mg 3.04
Si 0.5000 0.5000 0.5000  2 Si 2.46, 2 Mg 2.75
Mg 0.9452 0.9452 0.7467  5 Si 2.76-3.03, 2 Mg 3.04
Si 0.7280 0.7280 0.3990  3 Si 2.46-2.61
Mg 0.3444 0.3444 0.0973  3 Si 2.75-2.96
Si 0.2720 0.2720 0.6010  3 Si 2.46-2.61

## Properties
E_form (uncorrected): 0.08 eV/atom
Energy relative to the lowest polymorph listed for this composition: 0.113 eV/atom
D(E_F): 0.302 states/eV/atom
Raw total energy: -3.1545 eV per atom
SG: C2/m



Record 5
A relaxed structure of TbCe2Co, computed with PBE.

Lattice parameters (Å, degrees): 3.5267 3.5267 7.8885 90.00 90.00 90.00
With the nearest neighbours (Å) after each atom.
Fractional positions:
Ce 0.0000 0.0000 0.1805  1 Ce 2.85, 4 Co 2.87
Tb 0.5000 0.5000 0.5000  4 Tb 3.53, 8 Ce 3.55, 2 Co 3.94
Ce 0.0000 0.0000 0.8195  1 Ce 2.85, 4 Co 2.87
Co 0.5000 0.5000 0.0000  8 Ce 2.87

## Properties
ΔE_f: 0.007 eV/atom
Energy relative to the lowest polymorph listed for this composition: 0.135 eV/atom
D(E_F): 2.366 states/eV/atom
Raw total energy: -5.8939 eV per atom
SG: P4/mmm



Record 6
A relaxed structure of RbGaSb2, computed with PBE.

Lattice parameters (Å, degrees): 5.9017 5.9017 10.1004 73.01 73.01 90.00
With the nearest neighbours (Å) after each atom.
Fractional positions:
Ga 0.2500 0.7500 0.5000  4 Sb 2.78
Rb 0.0000 0.0000 0.0000  4 Sb 3.65
Sb 0.4644 0.1250 0.2500  2 Ga 2.78
Sb 0.3750 0.5356 0.7500  2 Ga 2.78
Sb 0.2856 0.6250 0.2500  2 Ga 2.78
Sb 0.8750 0.7144 0.7500  2 Ga 2.78
Ga 0.5000 0.5000 0.0000  4 Sb 2.78
Rb 0.7500 0.2500 0.5000  4 Sb 3.65

## Properties
E_form (uncorrected): -0.10 eV/atom
D(E_F): 0.643 states/eV/atom
Raw total energy: -3.1578 eV per atom
SG: I-42d



Record 7
A relaxed structure of TmH8Pt2, computed with PBE.

Lattice parameters (Å, degrees): 3.7423 5.4274 5.4274 83.82 69.81 69.81
With the nearest neighbours (Å) after each atom.
Fractional positions:
H 0.1577 0.3399 0.3399  2 Pt 1.82
Pt 0.0000 0.3053 0.6947  4 H 1.65-1.82
H 0.5000 0.6870 0.3130  2 Pt 1.87
Pt 0.0000 0.6947 0.3053  4 H 1.65-1.82
H 0.8401 0.0193 0.3022  1 Pt 1.65
H 0.1599 0.6978 0.9807  1 Pt 1.65
Tm 0.5000 0.0000 0.0000  12 H 2.27-2.43
H 0.5000 0.3130 0.6870  2 Pt 1.87
H 0.8401 0.3022 0.0193  1 Pt 1.65
H 0.8423 0.6601 0.6601  2 Pt 1.82
H 0.1599 0.9807 0.6978  1 Pt 1.65

## Properties
D(E_F): 0.189 states/eV/atom
Raw total energy: -4.1834 eV per atom
SG: C2/m



Record 8
A relaxed structure of Ni3Ir, computed with PBE.

Lattice parameters (Å, degrees): 4.4200 4.4200 2.5997 90.00 90.00 108.91
With the nearest neighbours (Å) after each atom.
Fractional positions:
Ni 0.0000 0.5000 0.5000  8 Ni 2.56-2.60, 4 Ir 2.56
Ni 0.5000 0.5000 0.0000  10 Ni 2.56-2.60, 2 Ir 2.57
Ir 0.0000 0.0000 0.0000  10 Ni 2.56-2.57, 2 Ir 2.60
Ni 0.5000 0.0000 0.5000  4 Ir 2.56, 8 Ni 2.56-2.60

## Properties
ΔE_f: 0.026 eV/atom
D(E_F): 1.888 states/eV/atom
Raw total energy: -6.5252 eV per atom
SG: Cmmm



Record 9
A relaxed structure of LiLaAlNi, computed with PBE.

Lattice parameters (Å, degrees): 4.7100 4.7100 4.7100 60.00 60.00 60.00
With the nearest neighbours (Å) after each atom.
Fractional positions:
Li 0.7500 0.7500 0.7500  4 La 2.88, 4 Al 2.88
Ni 0.2500 0.2500 0.2500  4 Al 2.88, 4 La 2.88
Al 0.5000 0.5000 0.5000  4 Ni 2.88, 4 Li 2.88
La 0.0000 0.0000 0.0000  4 Li 2.88, 4 Ni 2.88

## Properties
ΔE_f: -0.259 eV/atom
D(E_F): 1.254 states/eV/atom
Raw total energy: -4.3507 eV per atom
SG: F-43m



Record 10
A relaxed structure of Si2P, computed with PBE.

Lattice parameters (Å, degrees): 5.5013 5.5013 6.2494 55.43 55.43 38.61
With the nearest neighbours (Å) after each atom.
Fractional positions:
P 0.6170 0.6170 0.7651  4 Si 2.43-2.51, 2 P 2.60
Si 0.4454 0.4454 0.6219  1 P 2.43, 5 Si 2.49-2.57
P 0.9390 0.9390 0.1230  4 Si 2.43-2.51, 2 P 2.60
Si 0.1097 0.1097 0.2680  1 P 2.43, 5 Si 2.49-2.56
Si 0.2780 0.2780 0.4440  4 P 2.47, 2 Si 2.56-2.57
Si 0.7776 0.7776 0.9448  4 Si 2.49, 2 P 2.51

## Properties
E_form (uncorrected): 0.25 eV/atom
Energy relative to the lowest polymorph listed for this composition: 0.242 eV/atom
D(E_F): 0.301 states/eV/atom
Raw total energy: -5.1733 eV per atom
SG: C2/m



Record 11
A relaxed structure of PuReB2, computed with PBE.

Lattice parameters (Å, degrees): 3.1823 3.1823 6.2191 75.18 75.18 60.00
With the nearest neighbours (Å) after each atom.
Fractional positions:
B 0.2637 0.2637 0.2088  3 Re 2.22
B 0.7363 0.7363 0.7912  3 Re 2.22
Pu 0.5000 0.5000 0.5000  6 B 2.52
Re 0.0000 0.0000 0.0000  6 B 2.22

## Properties
ΔE_f: 0.001 eV/atom
Energy relative to the lowest polymorph listed for this composition: 0.366 eV/atom
D(E_F): 1.619 states/eV/atom
Raw total energy: -10.0332 eV per atom
SG: R-3m



Record 12
A relaxed structure of CuSi2Pt, computed with PBE.

Lattice parameters (Å, degrees): 4.5663 3.0734 4.5590 70.35 90.00 90.00
With the nearest neighbours (Å) after each atom.
Fractional positions:
Pt 0.5000 0.6851 0.7531  5 Si 2.39-2.51, 2 Cu 2.68
Cu 0.0000 0.8514 0.4261  3 Si 2.40-2.44, 2 Pt 2.68
Si 0.5000 0.3983 0.3256  3 Pt 2.39-2.46
Si 0.0000 0.5652 0.9952  3 Cu 2.40-2.44, 2 Pt 2.51, 2 Si 2.69

## Properties
E_form (uncorrected): -0.23 eV/atom
Energy relative to the lowest polymorph listed for this composition: 0.000 eV/atom
D(E_F): 0.200 states/eV/atom
Raw total energy: -5.4737 eV per atom
SG: Pm



Record 13
A relaxed structure of Li3GaPd6, computed with PBE.

Lattice parameters (Å, degrees): 4.3560 7.3892 9.2211 106.58 90.00 90.00
With the nearest neighbours (Å) after each atom.
Fractional positions:
Pd 0.2500 0.4651 0.0980  7 Li 2.57-2.72, 1 Pd 2.69
Li 0.7500 0.6426 0.1944  8 Pd 2.48-2.69
Ga 0.7500 0.0613 0.3895  8 Pd 2.51-2.69
Pd 0.7500 0.8439 0.8021  8 Pd 2.69-2.77, 3 Li 2.89-2.91, 2 Ga 3.01
Li 0.2500 0.7618 0.9832  10 Pd 2.60-2.91
Pd 0.2500 0.6334 0.6852  5 Li 2.53-2.64, 1 Ga 2.54, 2 Pd 2.71
Li 0.2500 0.3574 0.8056  8 Pd 2.48-2.69
Pd 0.7500 0.7598 0.4899  4 Li 2.61-2.71, 3 Ga 2.62-2.64, 2 Pd 2.77-2.89
Ga 0.2500 0.9387 0.6105  8 Pd 2.51-2.69
Pd 0.7500 0.1528 0.6931  4 Li 2.62-2.87, 3 Ga 2.67-2.69, 4 Pd 2.74-2.94
Pd 0.2500 0.2402 0.5101  4 Li 2.61-2.71, 3 Ga 2.62-2.64, 2 Pd 2.77-2.89
Pd 0.2500 0.8472 0.3069  4 Li 2.62-2.87, 3 Ga 2.67-2.69, 4 Pd 2.74-2.94
Pd 0.2500 0.0693 0.8934  4 Li 2.48-2.63, 1 Ga 2.51, 3 Pd 2.70-2.73
Pd 0.2500 0.1561 0.1979  8 Pd 2.69-2.77, 3 Li 2.89-2.91, 2 Ga 3.01
Pd 0.7500 0.3666 0.3148  5 Li 2.53-2.64, 1 Ga 2.54, 2 Pd 2.71
Li 0.7500 0.2382 0.0168  10 Pd 2.60-2.91
Li 0.7500 0.4606 0.6053  8 Pd 2.53-2.71
Pd 0.7500 0.5349 0.9020  7 Li 2.57-2.72, 1 Pd 2.69
Li 0.2500 0.5394 0.3947  8 Pd 2.53-2.71
Pd 0.7500 0.9307 0.1066  4 Li 2.48-2.63, 1 Ga 2.51, 3 Pd 2.70-2.73

## Properties
ΔE_f: -0.447 eV/atom
Energy relative to the lowest polymorph listed for this composition: 0.000 eV/atom
D(E_F): 0.279 states/eV/atom
Raw total energy: -4.4391 eV per atom
SG: P2_1/m



Record 14
A relaxed structure of NaBeZnAu2, computed with PBE.

Lattice parameters (Å, degrees): 4.5754 4.5754 4.4172 90.00 90.00 90.00
With the nearest neighbours (Å) after each atom.
Fractional positions:
Au 0.5000 0.0000 0.0000  2 Be 2.29
Be 0.0000 0.0000 0.0000  2 Zn 2.21, 4 Au 2.29
Au 0.0000 0.5000 0.0000  2 Be 2.29
Zn 0.0000 0.0000 0.5000  2 Be 2.21
Na 0.5000 0.5000 0.5000  8 Au 3.18, 4 Zn 3.24

## Properties
ΔE_f: -0.074 eV/atom
D(E_F): 0.252 states/eV/atom
Raw total energy: -2.6483 eV per atom
SG: P4/mmm



Record 15
A relaxed structure of K4Tb3BiO8, computed with PBE.

Lattice parameters (Å, degrees): 7.0688 7.4886 7.0688 118.17 120.00 90.00
With the nearest neighbours (Å) after each atom.
Fractional positions:
Bi 0.0000 0.5000 0.0000  6 O 2.43
K 0.0000 0.0000 0.0000  6 O 2.84
O 0.2360 0.6914 0.4720  2 Tb 2.34, 1 Bi 2.43
O 0.7640 0.3086 0.5280  2 Tb 2.34, 1 Bi 2.43
Tb 0.5000 0.5000 0.0000  6 O 2.34-2.35
O 0.2360 0.6914 0.9554  2 Tb 2.34, 1 Bi 2.43
O 0.7640 0.3086 0.0446  2 Tb 2.34, 1 Bi 2.43
K 0.5000 0.0000 0.5000  6 O 2.84
K 0.0000 0.0000 0.5000  6 O 2.84
O 0.7284 0.6851 0.4568  3 Tb 2.35
O 0.2806 0.3086 0.0446  2 Tb 2.34, 1 Bi 2.43
O 0.7194 0.6914 0.9554  2 Tb 2.34, 1 Bi 2.43
Tb 0.0000 0.5000 0.5000  6 O 2.34-2.35
O 0.2716 0.3149 0.5432  3 Tb 2.35
K 0.5000 0.0000 0.0000  6 O 2.76-2.77
Tb 0.5000 0.5000 0.5000  6 O 2.34-2.35

## Properties
E_form (uncorrected): -2.40 eV/atom
D(E_F): 0.000 states/eV/atom
Raw total energy: -6.2631 eV per atom
SG: R-3m